(1)
SmHoSiCl2: optimized geometry, PBE.

Cell and atoms, written as POSCAR:
```
SmHoSiCl2
1.0
4.096 0.000 0.000
-2.048 3.547 0.000
0.000 0.000 9.684
Cl Ho Si Sm
2 1 1 1
direct
0.333 0.667 0.167 Cl
0.667 0.333 0.827 Cl
0.333 0.667 0.669 Ho
0.000 0.000 0.505 Si
0.667 0.333 0.332 Sm
```

***

(2)
HoTmSiCl2: optimized geometry, PBE.

Cell and atoms, written as POSCAR:
```
HoTmSiCl2
1.0
4.002 0.000 0.000
-2.001 3.465 0.000
0.000 0.000 9.600
Cl Ho Si Tm
2 1 1 1
direct
0.000 0.000 0.171 Cl
0.333 0.667 0.831 Cl
0.000 0.000 0.667 Ho
0.667 0.333 0.498 Si
0.333 0.667 0.333 Tm
```

***

(3)
SmHoSnCl2: optimized geometry, PBE.

Cell and atoms, written as POSCAR:
```
SmHoSnCl2
1.0
-0.722 1.594 3.842
-3.179 -0.409 -2.747
-1.787 -9.039 3.414
Cl Ho Sm Sn
2 1 1 1
direct
0.000 0.000 0.159 Cl
0.333 0.667 0.834 Cl
0.000 0.000 0.686 Ho
0.333 0.667 0.316 Sm
0.667 0.333 0.505 Sn
```

***

(4)
TbHoSnCl2: optimized geometry, PBE.

Cell and atoms, written as POSCAR:
```
TbHoSnCl2
1.0
4.180 0.000 0.000
-2.090 3.620 0.000
0.000 0.000 9.909
Cl Ho Sn Tb
2 1 1 1
direct
0.333 0.667 0.167 Cl
0.667 0.333 0.831 Cl
0.333 0.667 0.682 Ho
0.000 0.000 0.502 Sn
0.667 0.333 0.318 Tb
```

***

no.,total moment (μB/f.u.),total energy (eV per atom)
1,0.0,-5.2425
2,0.0,-5.1833
3,0.0,-4.8776
4,0.0,-4.8507